Sc2P: optimized geometry, PBEsol.

## Properties
Uncorrected energy = -7.385 eV per atom
Size of the total moment = 0.000 μB/f.u.
Energy of formation from the pure elements = -1.0508 eV per atom

Cell and atoms, written as extended XYZ:
```
6
Lattice="1.807 -5.716 0.000 1.807 5.716 0.000 0.000 0.000 5.381" Properties=species:S:1:pos:R:3 pbc="T T T"
Sc 0.000 0.000 0.000
Sc 0.000 0.000 2.690
Sc 1.807 2.381 4.035
Sc 1.807 -2.381 1.345
P 1.807 1.495 1.345
P 1.807 -1.495 4.035
```